Record 1
First-principles (PBE) data for a relaxed ScTi6H8 crystal, as listed in Alexandria.

Lattice parameters (Å, degrees): 5.251 5.251 5.251 99.95 99.95 99.95
Element x y z (fractional)
Sc 0.000 0.000 0.000
Ti 0.700 0.420 0.866
Ti 0.420 0.866 0.700
Ti 0.866 0.700 0.420
Ti 0.300 0.580 0.134
Ti 0.580 0.134 0.300
Ti 0.134 0.300 0.580
H 0.725 0.725 0.725
H 0.275 0.275 0.275
H 0.645 0.779 0.103
H 0.779 0.103 0.645
H 0.103 0.645 0.779
H 0.355 0.221 0.897
H 0.221 0.897 0.355
H 0.897 0.355 0.221

Summary:
Total energy (eV per cell): -85.5
SG: R-3 (148)



Record 2
First-principles (PBE) data for a relaxed LiTm3S4 crystal, as listed in Alexandria.

Lattice parameters (Å, degrees): 3.818 6.625 6.625 109.35 90.00 90.00
Element x y z (fractional)
Li 0.500 0.000 0.000
Tm 0.000 0.000 0.500
Tm 0.500 0.500 0.500
Tm 0.000 0.500 0.000
S 0.000 0.246 0.246
S 0.500 0.754 0.246
S 0.000 0.754 0.754
S 0.500 0.246 0.754

Summary:
SG: Cmmm (65)
Relative energy among the computed polymorphs (meV per atom): 20.9



In the order shown, the computed size of the total moment values come out to 0.00 0.00 μB/atom.
In the order shown, the computed density values come out to 4.11 6.74 g/cm³.